A relaxed structure of DySiIr. Source: the Alexandria database, functional GGA-PBEsol.

Unit cell a=6.8036 b=4.2001 c=7.3148 alpha=90.00 beta=90.00 gamma=90.00
Fractional positions:
Dy  0.0008  0.2500  0.1856
Dy  0.4992  0.7500  0.6856
Dy  0.5008  0.2500  0.3144
Dy  0.9992  0.7500  0.8144
Si  0.2015  0.2500  0.6103
Si  0.2985  0.7500  0.1104
Si  0.7015  0.2500  0.8896
Si  0.7985  0.7500  0.3896
Ir  0.1562  0.7500  0.4318
Ir  0.3438  0.2500  0.9318
Ir  0.6562  0.7500  0.0682
Ir  0.8438  0.2500  0.5682

Output
The calculation puts the density of states at the Fermi level at 1.32 states/eV/f.u. Its calculated volume is 209.02 Å³ per cell. As for the crystal system: orthorhombic. The total energy comes out at -7.955 eV/atom. Its space-group type is No. 62. For the energy relative to the elements, uncorrected, the calculation gives -1105 meV/atom.